VASP calculation (PBE) on a relaxed Pr2BeSi2Au crystal.

Calculated values
The symmetry is P-6m2. For the final energy, the calculation gives -5.204 eV per atom. The size of the total moment is 0.00 μB per formula unit.

Lattice parameters (Å, degrees): 4.1517 4.1517 8.6853 90.00 90.00 120.00
Atoms (fractional coordinates):
1 Pr 0.0000 0.0000 0.2578
2 Pr 0.0000 0.0000 0.7422
3 Au 0.6667 0.3333 0.0000
4 Si 0.3333 0.6667 0.0000
5 Si 0.6667 0.3333 0.5000
6 Be 0.3333 0.6667 0.5000